1.
Compound: Tc2Hg3
Source: Alexandria via LeMat-Bulk
Functional: GGA-PBE
Structure: optimized geometry

Values from the calculation:
offset from the most stable computed form = 0.00 kcal/mol of atoms
crystal system = trigonal
SG = No. 164
density = 12.57 g cm⁻³
energy of formation from the pure elements = 0.589 eV/atom

Cell lengths 4.6351, 4.6351, 5.6664 Å; angles 90.00, 90.00, 120.00 degrees
With the nearest neighbours (Å) after each atom.
Fractional coordinates of all 5 atoms:
Tc 0.3333 0.6667 0.4241  5 Hg 2.71-2.94, 3 Tc 2.81
Tc 0.6667 0.3333 0.5759  5 Hg 2.71-2.94, 3 Tc 2.81
Hg 0.0000 0.0000 0.5000  6 Tc 2.71
Hg 0.3333 0.6667 0.9059  2 Tc 2.73-2.94, 3 Hg 2.88
Hg 0.6667 0.3333 0.0941  2 Tc 2.73-2.94, 3 Hg 2.88


2.
Compound: Be4BiAs3O12
Source: Alexandria via LeMat-Bulk
Functional: GGA-PBE
Structure: optimized geometry

Values from the calculation:
crystal system = trigonal
SG = No. 155
density = 5.14 g cm⁻³
formation energy from raw total energies = -1.59 eV/atom

Cell lengths 6.2684, 6.2684, 6.2684 Å; angles 105.30, 105.30, 105.30 degrees
With the nearest neighbours (Å) after each atom.
Fractional coordinates of all 20 atoms:
Be 0.0000 0.0000 0.0000  3 O 1.57
Be 0.0000 0.4380 0.5620  3 O 1.54-1.57
Be 0.4380 0.5620 0.0000  3 O 1.54-1.57
Be 0.5620 0.0000 0.4380  3 O 1.54-1.57
Bi 0.5000 0.5000 0.5000  6 O 2.44
As 0.0569 0.9431 0.5000  6 O 1.91-2.00
As 0.5000 0.0569 0.9431  6 O 1.91-2.00
As 0.9431 0.5000 0.0569  6 O 1.91-2.00
O 0.0000 0.5959 0.4041  1 Be 1.57
O 0.0000 0.8423 0.1577  1 Be 1.57
O 0.1377 0.2680 0.5313  1 Be 1.54
O 0.1577 0.0000 0.8423  1 Be 1.57
O 0.2680 0.5313 0.1377  1 Be 1.54
O 0.4041 0.0000 0.5959  1 Be 1.57
O 0.4687 0.7320 0.8623  1 Be 1.54
O 0.5313 0.1377 0.2680  1 Be 1.54
O 0.5959 0.4041 0.0000  1 Be 1.57
O 0.7320 0.8623 0.4687  1 Be 1.54
O 0.8423 0.1577 0.0000  1 Be 1.57
O 0.8623 0.4687 0.7320  1 Be 1.54


3.
Compound: Zn3SiRu
Source: Alexandria via LeMat-Bulk
Functional: GGA-PBE
Structure: optimized geometry

Values from the calculation:
offset from the most stable computed form = 4.36 kcal/mol of atoms
crystal system = cubic
SG = No. 221
density = 5.75 g cm⁻³
formation energy from raw total energies = 1.01 eV/atom

Cell lengths 4.5454, 4.5454, 4.5454 Å; angles 90.00, 90.00, 90.00 degrees
With the nearest neighbours (Å) after each atom.
Fractional coordinates of all 5 atoms:
Zn 0.0000 0.0000 0.5000  2 Si 2.27
Zn 0.0000 0.5000 0.0000  2 Si 2.27
Zn 0.5000 0.0000 0.0000  2 Si 2.27
Si 0.0000 0.0000 0.0000  6 Zn 2.27
Ru 0.5000 0.5000 0.5000  12 Zn 3.21


4.
Compound: ZnHAu
Source: Alexandria via LeMat-Bulk
Functional: GGA-PBE
Structure: optimized geometry

Values from the calculation:
offset from the most stable computed form = 5.03 kcal/mol of atoms
crystal system = tetragonal
SG = No. 107
density = 9.95 g cm⁻³

Cell lengths 4.0927, 4.0927, 4.0927 Å; angles 125.36, 125.36, 80.94 degrees
With the nearest neighbours (Å) after each atom.
Fractional coordinates of all 3 atoms:
Zn 0.0000 0.0000 0.0000  1 H 1.87
H 0.2997 0.2997 0.0000  1 Au 1.70, 1 Zn 1.87
Au 0.5728 0.5728 0.0000  1 H 1.70


5.
Compound: ErFe6Ge6
Source: Alexandria via LeMat-Bulk
Functional: GGA-PBE
Structure: optimized geometry

Values from the calculation:
offset from the most stable computed form = 0.09 kcal/mol of atoms
crystal system = hexagonal
SG = No. 191
density = 8.53 g cm⁻³
energy of formation from the pure elements = -0.279 eV/atom

Cell lengths 5.1028, 5.1028, 8.0961 Å; angles 90.00, 90.00, 120.00 degrees
With the nearest neighbours (Å) after each atom.
Fractional coordinates of all 13 atoms:
Er 0.0000 0.0000 0.0000  8 Ge 2.80-2.95
Fe 0.0000 0.5000 0.2498  6 Ge 2.50-2.67, 4 Fe 2.55
Fe 0.0000 0.5000 0.7502  6 Ge 2.50-2.67, 4 Fe 2.55
Fe 0.5000 0.0000 0.2498  6 Ge 2.50-2.67, 4 Fe 2.55
Fe 0.5000 0.0000 0.7502  6 Ge 2.50-2.67, 4 Fe 2.55
Fe 0.5000 0.5000 0.2498  6 Ge 2.50-2.67, 4 Fe 2.55
Fe 0.5000 0.5000 0.7502  6 Ge 2.50-2.67, 4 Fe 2.55
Ge 0.0000 0.0000 0.3458  1 Ge 2.50, 6 Fe 2.67
Ge 0.0000 0.0000 0.6542  1 Ge 2.50, 6 Fe 2.67
Ge 0.3333 0.6667 0.0000  6 Fe 2.50
Ge 0.3333 0.6667 0.5000  6 Fe 2.50
Ge 0.6667 0.3333 0.0000  6 Fe 2.50
Ge 0.6667 0.3333 0.5000  6 Fe 2.50


6.
Compound: TmFe6Ge6
Source: Alexandria via LeMat-Bulk
Functional: GGA-PBE
Structure: optimized geometry

Values from the calculation:
crystal system = orthorhombic
SG = No. 71
density = 8.53 g cm⁻³
energy of formation from the pure elements = -0.282 eV/atom

Cell lengths 14.0774, 14.0774, 14.0774 Å; angles 159.13, 146.43, 39.86 degrees
With the nearest neighbours (Å) after each atom.
Fractional coordinates of all 39 atoms:
Tm 0.0000 0.0000 0.0000  8 Ge 2.81-2.96
Tm 0.1684 0.6684 0.5000  8 Ge 2.81-2.97
Tm 0.8316 0.3316 0.5000  8 Ge 2.81-2.97
Fe 0.0000 0.0000 0.5000  6 Ge 2.50-2.68, 4 Fe 2.55
Fe 0.0000 0.5000 0.0000  6 Ge 2.50-2.68, 4 Fe 2.55
Fe 0.0835 0.8334 0.2501  6 Ge 2.47-2.67, 4 Fe 2.55
Fe 0.1659 0.1668 0.4992  6 Ge 2.50-2.66, 4 Fe 2.55
Fe 0.1659 0.6667 0.9991  6 Ge 2.50-2.66, 4 Fe 2.55
Fe 0.2490 0.5000 0.7490  6 Ge 2.51-2.67, 4 Fe 2.55
Fe 0.3324 0.3333 0.4992  6 Ge 2.50-2.66, 4 Fe 2.55
Fe 0.3324 0.8332 0.9991  6 Ge 2.50-2.66, 4 Fe 2.55
Fe 0.4167 0.1666 0.2501  6 Ge 2.47-2.67, 4 Fe 2.55
Fe 0.5000 0.0000 0.0000  6 Ge 2.50-2.68, 4 Fe 2.55
Fe 0.5000 0.5000 0.5000  6 Ge 2.50-2.68, 4 Fe 2.55
Fe 0.5833 0.8334 0.7499  6 Ge 2.47-2.67, 4 Fe 2.55
Fe 0.6676 0.1668 0.0009  6 Ge 2.50-2.66, 4 Fe 2.55
Fe 0.6676 0.6667 0.5008  6 Ge 2.50-2.66, 4 Fe 2.55
Fe 0.7510 0.5000 0.2510  6 Ge 2.51-2.67, 4 Fe 2.55
Fe 0.8341 0.3333 0.0009  6 Ge 2.50-2.66, 4 Fe 2.55
Fe 0.8341 0.8332 0.5008  6 Ge 2.50-2.66, 4 Fe 2.55
Fe 0.9165 0.1666 0.7499  6 Ge 2.47-2.67, 4 Fe 2.55
Ge 0.0560 0.5560 0.5000  6 Fe 2.50-2.51
Ge 0.1120 0.1120 0.0000  6 Fe 2.50-2.51
Ge 0.1796 0.3338 0.8457  1 Ge 2.51, 6 Fe 2.66-2.68
Ge 0.2237 0.2237 0.0000  6 Fe 2.50-2.53
Ge 0.2801 0.7801 0.5000  6 Fe 2.47-2.53
Ge 0.3453 0.0000 0.3453  1 Ge 2.52, 6 Fe 2.66-2.67, 1 Tm 2.81
Ge 0.3897 0.8897 0.5000  6 Fe 2.51-2.52
Ge 0.4446 0.4446 0.0000  6 Fe 2.51-2.52
Ge 0.4881 0.3338 0.1543  1 Ge 2.51, 6 Fe 2.66-2.68
Ge 0.5119 0.6662 0.8457  1 Ge 2.51, 6 Fe 2.66-2.68
Ge 0.5554 0.5554 0.0000  6 Fe 2.51-2.52
Ge 0.6103 0.1103 0.5000  6 Fe 2.51-2.52
Ge 0.6547 0.0000 0.6547  1 Ge 2.52, 6 Fe 2.66-2.67, 1 Tm 2.81
Ge 0.7199 0.2199 0.5000  6 Fe 2.47-2.53
Ge 0.7763 0.7763 0.0000  6 Fe 2.50-2.53
Ge 0.8204 0.6662 0.1543  1 Ge 2.51, 6 Fe 2.66-2.68
Ge 0.8880 0.8880 0.0000  6 Fe 2.50-2.51
Ge 0.9440 0.4440 0.5000  6 Fe 2.50-2.51


7.
Compound: Ac2CdSbAu6
Source: Alexandria via LeMat-Bulk
Functional: GGA-PBE
Structure: optimized geometry

Values from the calculation:
crystal system = cubic
SG = No. 225
density = 10.95 g cm⁻³
formation energy from raw total energies = -0.21 eV/atom

Cell lengths 7.3752, 7.3752, 7.3752 Å; angles 60.00, 60.00, 60.00 degrees
With the nearest neighbours (Å) after each atom.
Fractional coordinates of all 10 atoms:
Ac 0.2500 0.2500 0.2500  12 Au 3.69
Ac 0.7500 0.7500 0.7500  12 Au 3.69
Cd 0.0000 0.0000 0.0000  6 Au 2.60
Sb 0.5000 0.5000 0.5000  6 Au 2.62
Au 0.2492 0.2492 0.7508  1 Cd 2.60, 1 Sb 2.62
Au 0.2492 0.7508 0.2492  1 Cd 2.60, 1 Sb 2.62
Au 0.2492 0.7508 0.7508  1 Cd 2.60, 1 Sb 2.62
Au 0.7508 0.2492 0.2492  1 Cd 2.60, 1 Sb 2.62
Au 0.7508 0.2492 0.7508  1 Cd 2.60, 1 Sb 2.62
Au 0.7508 0.7508 0.2492  1 Cd 2.60, 1 Sb 2.62


8.
Compound: ScTi3As2
Source: Alexandria via LeMat-Bulk
Functional: GGA-PBE
Structure: optimized geometry

Values from the calculation:
crystal system = monoclinic
SG = No. 12
density = 5.40 g cm⁻³
energy of formation from the pure elements = -0.774 eV/atom

Cell lengths 8.0189, 8.0189, 8.1142 Å; angles 114.41, 114.41, 26.13 degrees
With the nearest neighbours (Å) after each atom.
Fractional coordinates of all 12 atoms:
Sc 0.1116 0.1116 0.1237  6 As 2.74-2.90
Sc 0.8884 0.8884 0.8763  6 As 2.74-2.90
Ti 0.0557 0.0557 0.6615  1 Ti 2.45, 2 As 2.54
Ti 0.3143 0.3143 0.1042  4 As 2.59-2.77, 4 Ti 2.70-2.78
Ti 0.3451 0.3451 0.5183  4 As 2.62-2.77
Ti 0.6549 0.6549 0.4817  4 As 2.62-2.77
Ti 0.6857 0.6857 0.8958  4 As 2.59-2.77, 4 Ti 2.70-2.78
Ti 0.9443 0.9443 0.3385  1 Ti 2.45, 2 As 2.54
As 0.2444 0.2444 0.7287  7 Ti 2.62-2.77, 2 Sc 2.74
As 0.4919 0.4919 0.1740  4 Ti 2.54-2.71, 2 Sc 2.76
As 0.5081 0.5081 0.8260  4 Ti 2.54-2.71, 2 Sc 2.76
As 0.7556 0.7556 0.2713  7 Ti 2.62-2.77, 2 Sc 2.74


9.
Compound: MgBi2I
Source: Alexandria via LeMat-Bulk
Functional: GGA-PBE
Structure: optimized geometry

Values from the calculation:
offset from the most stable computed form = 6.42 kcal/mol of atoms
crystal system = cubic
SG = No. 225
density = 7.65 g cm⁻³
formation energy from raw total energies = 0.21 eV/atom

Cell lengths 5.5903, 5.5903, 5.5903 Å; angles 60.00, 60.00, 60.00 degrees
With the nearest neighbours (Å) after each atom.
Fractional coordinates of all 4 atoms:
Mg 0.0000 0.0000 0.0000  8 Bi 3.42
Bi 0.2500 0.2500 0.2500  4 Mg 3.42, 4 I 3.42
Bi 0.7500 0.7500 0.7500  4 I 3.42, 4 Mg 3.42
I 0.5000 0.5000 0.5000  8 Bi 3.42


10.
Compound: ErMgZn3
Source: Alexandria via LeMat-Bulk
Functional: GGA-PBE
Structure: optimized geometry

Values from the calculation:
crystal system = orthorhombic
SG = No. 63
density = 6.64 g cm⁻³
energy of formation from the pure elements = -0.262 eV/atom

Cell lengths 12.9148, 12.9148, 4.4375 Å; angles 90.00, 90.00, 164.81 degrees
With the nearest neighbours (Å) after each atom.
Fractional coordinates of all 10 atoms:
Er 0.0752 0.9248 0.7500  12 Zn 3.07-3.09, 2 Er 3.41
Er 0.9248 0.0752 0.2500  12 Zn 3.07-3.09, 2 Er 3.41
Mg 0.2141 0.7859 0.2500  7 Zn 2.82-2.97
Mg 0.7859 0.2141 0.7500  7 Zn 2.82-2.97
Zn 0.3243 0.6757 0.2500  2 Zn 2.58, 1 Mg 2.82
Zn 0.3754 0.6246 0.7500  3 Zn 2.56-2.58, 2 Mg 2.86
Zn 0.4755 0.5245 0.7500  3 Zn 2.55-2.56
Zn 0.5245 0.4755 0.2500  3 Zn 2.55-2.56
Zn 0.6246 0.3754 0.2500  3 Zn 2.56-2.58, 2 Mg 2.86
Zn 0.6757 0.3243 0.7500  2 Zn 2.58, 1 Mg 2.82


11.
Compound: KBeSi2O6
Source: Alexandria via LeMat-Bulk
Functional: GGA-PBE
Structure: optimized geometry

Values from the calculation:
crystal system = monoclinic
SG = No. 15
density = 2.47 g cm⁻³
formation energy from raw total energies = -2.41 eV/atom

Cell lengths 7.3408, 7.3408, 5.4230 Å; angles 104.78, 104.78, 95.85 degrees
With the nearest neighbours (Å) after each atom.
Fractional coordinates of all 20 atoms:
K 0.1178 0.8822 0.7500  4 O 2.61-2.69
K 0.8822 0.1178 0.2500  4 O 2.61-2.69
Be 0.2339 0.7661 0.2500  4 O 1.61-1.64
Be 0.7661 0.2339 0.7500  4 O 1.61-1.64
Si 0.2145 0.3840 0.8772  4 O 1.62-1.65
Si 0.3840 0.2145 0.3772  4 O 1.62-1.65
Si 0.6160 0.7855 0.6228  4 O 1.62-1.65
Si 0.7855 0.6160 0.1228  4 O 1.62-1.65
O 0.0079 0.7228 0.2360  1 Si 1.62, 1 Be 1.64
O 0.2384 0.6144 0.9802  1 Be 1.61, 1 Si 1.62
O 0.2772 0.9921 0.2640  1 Si 1.62, 1 Be 1.64
O 0.3003 0.3219 0.6215  2 Si 1.65
O 0.3219 0.3003 0.1215  2 Si 1.65
O 0.3856 0.7616 0.5198  1 Be 1.61, 1 Si 1.62
O 0.6144 0.2384 0.4802  1 Be 1.61, 1 Si 1.62
O 0.6781 0.6997 0.8785  2 Si 1.65
O 0.6997 0.6781 0.3785  2 Si 1.65
O 0.7228 0.0079 0.7360  1 Si 1.62, 1 Be 1.64
O 0.7616 0.3856 0.0198  1 Be 1.61, 1 Si 1.62
O 0.9921 0.2772 0.7640  1 Si 1.62, 1 Be 1.64